# AcNbRu | the Alexandria database | PBE | optimized geometry
data_AcNbRu
_cell_length_a 3.537
_cell_length_b 3.537
_cell_length_c 11.507
_cell_angle_alpha 90.00
_cell_angle_beta 90.00
_cell_angle_gamma 90.00
_symmetry_space_group_name_H-M 'P 4/m m m'
_symmetry_Int_Tables_number 123
_symmetry_space_group_name_Hall '-P 4 2'
loop_
_atom_site_label
_atom_site_fract_x
_atom_site_fract_y
_atom_site_fract_z
Ac1 0.000 0.000 0.163
Nb1 0.500 0.500 0.395
Ru1 0.000 0.000 0.500
Ru2 0.500 0.500 0.000
# DOS at the Fermi energy: 1.1542 states/eV/atom
# formation energy: 0.274 eV/atom

# Ac3NbS6 | the Alexandria database | PBE | optimized geometry
data_Ac3NbS6
_cell_length_a 11.546
_cell_length_b 14.409
_cell_length_c 7.025
_cell_angle_alpha 90.00
_cell_angle_beta 90.00
_cell_angle_gamma 90.00
_symmetry_space_group_name_H-M 'C m c 21'
_symmetry_Int_Tables_number 36
loop_
_symmetry_equiv_pos_as_xyz
'x,y,z'
'-x,-y,z+1/2'
'-x,y,z'
'x,-y,z+1/2'
'x+1/2,y+1/2,z'
'-x+1/2,-y+1/2,z+1/2'
'-x+1/2,y+1/2,z'
'x+1/2,-y+1/2,z+1/2'
loop_
_atom_site_label
_atom_site_fract_x
_atom_site_fract_y
_atom_site_fract_z
Ac1 0.000 0.104 0.000
Ac2 0.186 0.400 0.058
Nb1 0.000 0.306 0.608
S1 0.000 0.284 0.264
S2 0.000 0.461 0.754
S3 0.159 0.018 0.280
S4 0.162 0.240 0.773
# formation energy (no corrections): -1.745 eV per atom
# DOS at the Fermi energy: 0.2521 states/eV/atom

# AcNbS2 | the Alexandria database | PBE | optimized geometry
data_AcNbS2
_cell_length_a 4.1521
_cell_length_b 4.1521
_cell_length_c 17.5406
_cell_angle_alpha 90.00
_cell_angle_beta 90.00
_cell_angle_gamma 120.00
_symmetry_space_group_name_H-M 'R -3 m'
_symmetry_Int_Tables_number 166
_symmetry_space_group_name_Hall '-R 3 2"'
loop_
_atom_site_label
_atom_site_fract_x
_atom_site_fract_y
_atom_site_fract_z
Ac1 0.0000 0.0000 0.0000
Nb1 0.0000 0.0000 0.5000
S1 0.0000 0.0000 0.2314
# formation energy (no corrections): -1.210 eV per atom
# DOS at the Fermi energy: 0.5968 states/eV/atom

# AcNb2S7 | the Alexandria database | PBE | optimized geometry
data_AcNb2S7
_cell_length_a 7.735
_cell_length_b 12.408
_cell_length_c 4.738
_cell_angle_alpha 90.00
_cell_angle_beta 90.00
_cell_angle_gamma 90.00
_symmetry_space_group_name_H-M 'C m m m'
_symmetry_Int_Tables_number 65
_symmetry_space_group_name_Hall '-C 2 2'
loop_
_atom_site_label
_atom_site_fract_x
_atom_site_fract_y
_atom_site_fract_z
Ac1 0.000 0.000 0.000
Nb1 0.000 0.304 0.500
S1 0.000 0.288 0.000
S2 0.000 0.500 0.500
S3 0.183 0.130 0.500
# formation energy (no corrections): -0.935 eV per atom
# DOS at the Fermi energy: 0.3432 states/eV/atom

# Ac5Nb3S12 | the Alexandria database | PBE | optimized geometry
data_Ac5Nb3S12
_cell_length_a 16.428
_cell_length_b 16.428
_cell_length_c 16.428
_cell_angle_alpha 90.00
_cell_angle_beta 90.00
_cell_angle_gamma 90.00
_symmetry_space_group_name_H-M 'I a -3 d'
_symmetry_Int_Tables_number 230
_symmetry_space_group_name_Hall '-I 4bd 2c 3'
loop_
_atom_site_label
_atom_site_fract_x
_atom_site_fract_y
_atom_site_fract_z
Ac1 0.000 0.000 0.000
Ac2 0.000 0.250 0.375
Nb1 0.000 0.250 0.125
S1 0.024 0.094 0.651
# formation energy (no corrections): -1.021 eV per atom
# DOS at the Fermi energy: 0.3473 states/eV/atom

# AcNbS | the Alexandria database | PBE | optimized geometry
data_AcNbS
_cell_length_a 3.985
_cell_length_b 4.874
_cell_length_c 16.291
_cell_angle_alpha 90.00
_cell_angle_beta 90.00
_cell_angle_gamma 90.00
_symmetry_space_group_name_H-M 'I m m m'
_symmetry_Int_Tables_number 71
_symmetry_space_group_name_Hall '-I 2 2'
loop_
_atom_site_label
_atom_site_fract_x
_atom_site_fract_y
_atom_site_fract_z
Ac1 0.000 0.000 0.159
Nb1 0.000 0.264 0.500
S1 0.000 0.000 0.351
# formation energy (no corrections): -0.640 eV per atom
# DOS at the Fermi energy: 0.6204 states/eV/atom

# Ac2NbS5 | the Alexandria database | PBE | optimized geometry
data_Ac2NbS5
_cell_length_a 7.055
_cell_length_b 7.055
_cell_length_c 8.133
_cell_angle_alpha 90.00
_cell_angle_beta 90.00
_cell_angle_gamma 90.00
_symmetry_space_group_name_H-M 'I 4 m m'
_symmetry_Int_Tables_number 107
_symmetry_space_group_name_Hall 'I 4 -2'
loop_
_atom_site_label
_atom_site_fract_x
_atom_site_fract_y
_atom_site_fract_z
Ac1 0.000 0.500 0.000
Nb1 0.000 0.000 0.186
S1 0.000 0.000 0.920
S2 0.241 0.241 0.244
# formation energy (no corrections): -1.530 eV per atom
# DOS at the Fermi energy: 0.3671 states/eV/atom

# AcNb6S12 | the Alexandria database | PBE | optimized geometry
data_AcNb6S12
_cell_length_a 11.8029
_cell_length_b 11.8029
_cell_length_c 9.3315
_cell_angle_alpha 90.00
_cell_angle_beta 90.00
_cell_angle_gamma 120.00
_symmetry_space_group_name_H-M 'R -3 m'
_symmetry_Int_Tables_number 166
_symmetry_space_group_name_Hall '-R 3 2"'
loop_
_atom_site_label
_atom_site_fract_x
_atom_site_fract_y
_atom_site_fract_z
Ac1 0.0000 0.0000 0.0000
Nb1 0.0730 0.5365 0.2913
S1 0.0000 0.3738 0.5000
S2 0.0948 0.1895 0.3634
# formation energy (no corrections): -0.661 eV per atom
# DOS at the Fermi energy: 0.6402 states/eV/atom

# AcNb2S4 | the Alexandria database | PBE | optimized geometry
data_AcNb2S4
_cell_length_a 4.027
_cell_length_b 11.651
_cell_length_c 12.355
_cell_angle_alpha 90.00
_cell_angle_beta 90.00
_cell_angle_gamma 90.00
_symmetry_space_group_name_H-M 'C m c m'
_symmetry_Int_Tables_number 63
_symmetry_space_group_name_Hall '-C 2c 2'
loop_
_atom_site_label
_atom_site_fract_x
_atom_site_fract_y
_atom_site_fract_z
Ac1 0.000 0.123 0.250
Nb1 0.000 0.393 0.054
S1 0.000 0.000 0.000
S2 0.000 0.257 0.606
S3 0.000 0.436 0.250
# formation energy (no corrections): -1.268 eV per atom
# DOS at the Fermi energy: 0.4442 states/eV/atom

# AcNb4S8 | the Alexandria database | PBE | optimized geometry
data_AcNb4S8
_cell_length_a 10.524
_cell_length_b 10.524
_cell_length_c 10.524
_cell_angle_alpha 90.00
_cell_angle_beta 90.00
_cell_angle_gamma 90.00
_symmetry_space_group_name_H-M 'F -4 3 m'
_symmetry_Int_Tables_number 216
_symmetry_space_group_name_Hall 'F -4 2 3'
loop_
_atom_site_label
_atom_site_fract_x
_atom_site_fract_y
_atom_site_fract_z
Ac1 0.000 0.000 0.000
Nb1 0.105 0.105 0.395
S1 0.127 0.127 0.627
S2 0.149 0.149 0.149
# formation energy (no corrections): -1.122 eV per atom
# DOS at the Fermi energy: 0.6078 states/eV/atom
# ΔE to the lowest computed polymorph: 135 meV/atom

# AcNb4S8 | the Alexandria database | PBE | optimized geometry
data_AcNb4S8
_cell_length_a 11.877
_cell_length_b 6.940
_cell_length_c 9.088
_cell_angle_alpha 90.00
_cell_angle_beta 126.58
_cell_angle_gamma 90.00
_symmetry_space_group_name_H-M 'C 1 2/m 1'
_symmetry_Int_Tables_number 12
loop_
_symmetry_equiv_pos_as_xyz
'x,y,z'
'-x,-y,-z'
'-x,y,-z'
'x,-y,z'
'x+1/2,y+1/2,z'
'-x+1/2,-y+1/2,-z'
'-x+1/2,y+1/2,-z'
'x+1/2,-y+1/2,z'
loop_
_atom_site_label
_atom_site_fract_x
_atom_site_fract_y
_atom_site_fract_z
Ac1 0.000 0.000 0.000
Nb1 0.000 0.294 0.500
Nb2 0.224 0.500 0.492
S1 0.005 0.000 0.327
S2 0.031 0.500 0.744
S3 0.237 0.252 0.288
# formation energy (no corrections): -1.257 eV per atom
# DOS at the Fermi energy: 0.5607 states/eV/atom
# ΔE to the lowest computed polymorph: 0 meV/atom

# Ac3NbTl3S8 | the Alexandria database | PBE | optimized geometry
data_Ac3NbTl3S8
_cell_length_a 8.4687
_cell_length_b 8.4687
_cell_length_c 22.6381
_cell_angle_alpha 90.00
_cell_angle_beta 90.00
_cell_angle_gamma 120.00
_symmetry_space_group_name_H-M 'R -3 m'
_symmetry_Int_Tables_number 166
_symmetry_space_group_name_Hall '-R 3 2"'
loop_
_atom_site_label
_atom_site_fract_x
_atom_site_fract_y
_atom_site_fract_z
Ac1 0.0000 0.5000 0.0000
Nb1 0.0000 0.0000 0.0000
Tl1 0.0000 0.5000 0.5000
S1 0.0000 0.0000 0.2610
S2 0.0445 0.5223 0.7309
# formation energy (no corrections): -1.321 eV per atom
# DOS at the Fermi energy: 0.3264 states/eV/atom

Short version: M_tot = 0.00 2.01 1.90 0.00 6.00 0.00 0.00 0.00 0.00 0.01 0.00 1.01 μB/f.u., in the order given.
Short version: energy = -0.277 -0.237 -0.251 -0.230 -0.222 -0.248 -0.235 -0.245 -0.261 -0.260 -0.265 -0.202 Ha/atom, in the order given.